Entry 1:
A plane-wave DFT calculation with PBE was carried out for an optimized crystal structure of LiNbPdSe3.

a = 7.3305 Å, b = 3.6089 Å, c = 9.3888 Å
α = 90.00°, β = 104.79°, γ = 90.00°
With the nearest neighbours (Å) after each atom.
Atoms (fractional coordinates):
Li: 0.2407 0.2500 0.1977  6 Se 2.85-3.17
Li: 0.7593 0.7500 0.8023  6 Se 2.85-3.17
Nb: 0.1987 0.7500 0.6817  6 Se 2.57-2.83, 2 Pd 2.85
Nb: 0.8013 0.2500 0.3183  6 Se 2.57-2.83, 2 Pd 2.85
Pd: 0.4315 0.2500 0.8847  4 Se 2.45-2.68
Pd: 0.5685 0.7500 0.1153  4 Se 2.45-2.68
Se: 0.0828 0.7500 0.3700  3 Nb 2.69-2.83, 2 Li 2.86
Se: 0.2087 0.7500 0.9569  1 Nb 2.57, 3 Pd 2.64-2.68, 2 Li 2.85
Se: 0.4234 0.2500 0.6222  1 Pd 2.45, 2 Nb 2.60
Se: 0.5766 0.7500 0.3778  1 Pd 2.45, 2 Nb 2.60
Se: 0.7913 0.2500 0.0431  1 Nb 2.57, 3 Pd 2.64-2.68, 2 Li 2.85
Se: 0.9172 0.2500 0.6300  3 Nb 2.69-2.83, 2 Li 2.86

Results
uncorrected energy = -32.24 eV per formula unit
symmetry = P2_1/m

---

Entry 2:
A plane-wave DFT calculation with PBE was carried out for an optimized crystal structure of TbGdNO.

a = 6.6614 Å, b = 8.1233 Å, c = 4.9824 Å
α = 90.00°, β = 90.00°, γ = 90.00°
With the nearest neighbours (Å) after each atom.
Atoms (fractional coordinates):
Tb: 0.0706 0.1218 0.0000  4 O 2.24-2.50, 1 N 2.25
Tb: 0.4294 0.1218 0.5000  4 O 2.24-2.50, 1 N 2.25
Tb: 0.5706 0.8782 0.0000  4 O 2.24-2.50, 1 N 2.25
Tb: 0.9294 0.8782 0.5000  4 O 2.24-2.50, 1 N 2.25
Gd: 0.0821 0.6274 0.9983  4 N 2.30-2.49, 1 O 2.30
Gd: 0.4179 0.6274 0.4983  4 N 2.30-2.49, 1 O 2.30
Gd: 0.5821 0.3726 0.9983  4 N 2.30-2.49, 1 O 2.30
Gd: 0.9179 0.3726 0.4983  4 N 2.30-2.49, 1 O 2.30
N: 0.0693 0.6267 0.4983  1 Tb 2.25, 4 Gd 2.30-2.49
N: 0.4307 0.6267 0.9983  1 Tb 2.25, 4 Gd 2.30-2.49
N: 0.5693 0.3733 0.4983  1 Tb 2.25, 4 Gd 2.30-2.49
N: 0.9307 0.3733 0.9983  1 Tb 2.25, 4 Gd 2.30-2.49
O: 0.0940 0.1292 0.5007  4 Tb 2.24-2.50, 1 Gd 2.30
O: 0.4060 0.1292 0.0007  4 Tb 2.24-2.50, 1 Gd 2.30
O: 0.5940 0.8708 0.5007  4 Tb 2.24-2.50, 1 Gd 2.30
O: 0.9060 0.8708 0.0007  4 Tb 2.24-2.50, 1 Gd 2.30

Results
symmetry = Pca2_1
relative energy among the computed polymorphs = 31 meV per atom

---

Entry 3:
A plane-wave DFT calculation with PBE was carried out for an optimized crystal structure of CsYAg.

a = 7.3899 Å, b = 7.3899 Å, c = 7.3899 Å
α = 90.00°, β = 90.00°, γ = 90.00°
With the nearest neighbours (Å) after each atom.
Atoms (fractional coordinates):
Cs: 0.0000 0.0000 0.0000  4 Ag 3.20, 4 Y 3.20
Cs: 0.0000 0.5000 0.5000  4 Ag 3.20, 4 Y 3.20
Cs: 0.5000 0.0000 0.5000  4 Ag 3.20, 4 Y 3.20
Cs: 0.5000 0.5000 0.0000  4 Ag 3.20, 4 Y 3.20
Y: 0.2500 0.2500 0.2500  4 Cs 3.20
Y: 0.2500 0.7500 0.7500  4 Cs 3.20
Y: 0.7500 0.2500 0.7500  4 Cs 3.20
Y: 0.7500 0.7500 0.2500  4 Cs 3.20
Ag: 0.2500 0.2500 0.7500  4 Cs 3.20
Ag: 0.2500 0.7500 0.2500  4 Cs 3.20
Ag: 0.7500 0.2500 0.2500  4 Cs 3.20
Ag: 0.7500 0.7500 0.7500  4 Cs 3.20

Results
uncorrected energy = -6.81 eV per formula unit
symmetry = F-43m

---

Entry 4:
A plane-wave DFT calculation with PBE was carried out for an optimized crystal structure of Au4I3F.

a = 6.0337 Å, b = 6.4150 Å, c = 12.7964 Å
α = 90.00°, β = 90.00°, γ = 90.00°
With the nearest neighbours (Å) after each atom.
Atoms (fractional coordinates):
Au: 0.0000 0.2370 0.0000  1 F 2.15
Au: 0.0000 0.7630 0.0000  1 F 2.15
Au: 0.2487 0.0000 0.4710  2 I 2.64-2.65
Au: 0.2513 0.5000 0.4710  2 I 2.64-2.65
Au: 0.5000 0.2630 0.0000  1 F 2.15
Au: 0.5000 0.7370 0.0000  1 F 2.15
Au: 0.7487 0.5000 0.4710  2 I 2.64-2.65
Au: 0.7513 0.0000 0.4710  2 I 2.64-2.65
I: 0.0000 0.0000 0.6415  2 Au 2.65
I: 0.0000 0.5000 0.3025  2 Au 2.64
I: 0.0000 0.5000 0.8487  2 Au 2.57
I: 0.5000 0.0000 0.3025  2 Au 2.64
I: 0.5000 0.0000 0.8487  2 Au 2.57
I: 0.5000 0.5000 0.6415  2 Au 2.65
F: 0.0000 0.0000 0.1189  2 Au 2.15
F: 0.5000 0.5000 0.1189  2 Au 2.15

Results
uncorrected energy = -21.07 eV per formula unit
symmetry = Cmm2

---

Entry 5:
A plane-wave DFT calculation with PBE was carried out for an optimized crystal structure of BaBeMo.

a = 6.7093 Å, b = 6.7093 Å, c = 6.7093 Å
α = 90.00°, β = 90.00°, γ = 90.00°
With the nearest neighbours (Å) after each atom.
Atoms (fractional coordinates):
Ba: 0.0000 0.0000 0.0000  4 Mo 2.91
Ba: 0.0000 0.5000 0.5000  4 Mo 2.91
Ba: 0.5000 0.0000 0.5000  4 Mo 2.91
Ba: 0.5000 0.5000 0.0000  4 Mo 2.91
Be: 0.0000 0.0000 0.5000  4 Mo 2.91
Be: 0.0000 0.5000 0.0000  4 Mo 2.91
Be: 0.5000 0.0000 0.0000  4 Mo 2.91
Be: 0.5000 0.5000 0.5000  4 Mo 2.91
Mo: 0.2500 0.2500 0.2500  4 Ba 2.91, 4 Be 2.91
Mo: 0.2500 0.7500 0.7500  4 Ba 2.91, 4 Be 2.91
Mo: 0.7500 0.2500 0.7500  4 Ba 2.91, 4 Be 2.91
Mo: 0.7500 0.7500 0.2500  4 Ba 2.91, 4 Be 2.91

Results
symmetry = F-43m
relative energy among the computed polymorphs = 108 meV per atom

---

Entry 6:
A plane-wave DFT calculation with PBE was carried out for an optimized crystal structure of LaHg2.

a = 5.0391 Å, b = 5.0391 Å, c = 3.5984 Å
α = 90.00°, β = 90.00°, γ = 120.00°
With the nearest neighbours (Å) after each atom.
Atoms (fractional coordinates):
La: 0.0000 0.0000 0.0000  12 Hg 3.41-3.43, 2 La 3.60
Hg: 0.3333 0.6667 0.5069  3 Hg 2.91
Hg: 0.6667 0.3333 0.4931  3 Hg 2.91

Results
E_form = -489 meV/atom
symmetry = P-3m1

---

Entry 7:
A plane-wave DFT calculation with PBE was carried out for an optimized crystal structure of GdTmIn4Pt2.

a = 7.4080 Å, b = 4.5070 Å, c = 10.5312 Å
α = 90.00°, β = 90.00°, γ = 90.00°
With the nearest neighbours (Å) after each atom.
Atoms (fractional coordinates):
Gd: 0.0000 0.0000 0.0000  3 Pt 2.99-3.20, 4 In 3.22
Gd: 0.0000 0.5000 0.5000  3 Pt 2.99-3.20, 4 In 3.22
Tm: 0.5000 0.0000 0.1523  3 Pt 2.97-3.21, 4 In 3.21
Tm: 0.5000 0.5000 0.6523  3 Pt 2.97-3.21, 4 In 3.21
In: 0.2037 0.0000 0.7119  3 Pt 2.75-2.82, 2 In 2.95-3.02
In: 0.2037 0.5000 0.2119  3 Pt 2.75-2.82, 2 In 2.95-3.02
In: 0.2987 0.0000 0.4396  3 Pt 2.75-2.80, 2 In 2.95-2.98
In: 0.2987 0.5000 0.9396  3 Pt 2.75-2.80, 2 In 2.95-2.98
In: 0.7013 0.0000 0.4396  3 Pt 2.75-2.80, 2 In 2.95-2.98
In: 0.7013 0.5000 0.9396  3 Pt 2.75-2.80, 2 In 2.95-2.98
In: 0.7963 0.0000 0.7119  3 Pt 2.75-2.82, 2 In 2.95-3.02
In: 0.7963 0.5000 0.2119  3 Pt 2.75-2.82, 2 In 2.95-3.02
Pt: 0.0000 0.0000 0.2838  6 In 2.75-2.82, 1 Gd 2.99
Pt: 0.0000 0.5000 0.7838  6 In 2.75-2.82, 1 Gd 2.99
Pt: 0.5000 0.0000 0.8700  6 In 2.75-2.80, 1 Tm 2.97
Pt: 0.5000 0.5000 0.3700  6 In 2.75-2.80, 1 Tm 2.97

Results
uncorrected energy = -38.01 eV per formula unit
symmetry = Amm2

---

Entry 8:
A plane-wave DFT calculation with PBE was carried out for an optimized crystal structure of NbNiGePt.

a = 6.2273 Å, b = 6.2273 Å, c = 6.2273 Å
α = 90.00°, β = 90.00°, γ = 90.00°
With the nearest neighbours (Å) after each atom.
Atoms (fractional coordinates):
Nb: 0.0000 0.0000 0.0000  4 Ge 2.70, 4 Pt 2.70
Nb: 0.0000 0.5000 0.5000  4 Ge 2.70, 4 Pt 2.70
Nb: 0.5000 0.0000 0.5000  4 Ge 2.70, 4 Pt 2.70
Nb: 0.5000 0.5000 0.0000  4 Ge 2.70, 4 Pt 2.70
Ni: 0.0000 0.0000 0.5000  4 Pt 2.70, 4 Ge 2.70
Ni: 0.0000 0.5000 0.0000  4 Pt 2.70, 4 Ge 2.70
Ni: 0.5000 0.0000 0.0000  4 Pt 2.70, 4 Ge 2.70
Ni: 0.5000 0.5000 0.5000  4 Pt 2.70, 4 Ge 2.70
Ge: 0.2500 0.2500 0.2500  4 Ni 2.70, 4 Nb 2.70
Ge: 0.2500 0.7500 0.7500  4 Nb 2.70, 4 Ni 2.70
Ge: 0.7500 0.2500 0.7500  4 Nb 2.70, 4 Ni 2.70
Ge: 0.7500 0.7500 0.2500  4 Nb 2.70, 4 Ni 2.70
Pt: 0.2500 0.2500 0.7500  4 Nb 2.70, 4 Ni 2.70
Pt: 0.2500 0.7500 0.2500  4 Nb 2.70, 4 Ni 2.70
Pt: 0.7500 0.2500 0.2500  4 Nb 2.70, 4 Ni 2.70
Pt: 0.7500 0.7500 0.7500  4 Nb 2.70, 4 Ni 2.70

Results
symmetry = F-43m
relative energy among the computed polymorphs = 0 meV per atom

---

no.,theoretical density (kg/m³)
1,6128
2,8529
3,5426
4,7963
5,5328
6,11334
7,11104
8,11534